The following is a DFT calculation (PBE-GGA) of a geometry-optimized Zr2ZnCd2 structure. Values from VASP.

Structure (Quantum ESPRESSO input):
```
&SYSTEM
  ibrav = 0, nat = 5, ntyp = 3
/
ATOMIC_SPECIES
Zr 91.22 Zr.upf
Zn 65.41 Zn.upf
Cd 112.41 Cd.upf
CELL_PARAMETERS angstrom
4.7147 0.0000 0.0000
2.3468 4.0993 0.0000
2.3389 1.3339 5.3467
ATOMIC_POSITIONS crystal
Zr 0.1050 0.1049 0.1841
Zr 0.8950 0.8951 0.8159
Zn 0.5000 0.5000 0.0000
Cd 0.3096 0.3094 0.5714
Cd 0.6904 0.6906 0.4286
```

Summary:
SG: No. 2
formation enthalpy at 0 K: -82 meV per atom

***

The following is a DFT calculation (PBE-GGA) of a geometry-optimized SrMn2CdPb structure. Values from VASP.

Structure (Quantum ESPRESSO input):
```
&SYSTEM
  ibrav = 0, nat = 5, ntyp = 4
/
ATOMIC_SPECIES
Sr 87.62 Sr.upf
Mn 54.94 Mn.upf
Cd 112.41 Cd.upf
Pb 207.20 Pb.upf
CELL_PARAMETERS angstrom
5.1394 0.0000 0.0000
0.0000 5.1394 0.0000
0.0000 0.0000 5.8964
ATOMIC_POSITIONS crystal
Sr 0.0000 0.0000 0.0000
Mn 0.0000 0.5000 0.5000
Mn 0.5000 0.0000 0.5000
Cd 0.0000 0.0000 0.5000
Pb 0.5000 0.5000 0.0000
```

Summary:
SG: No. 123
formation enthalpy at 0 K: 705 meV per atom

***

The following is a DFT calculation (PBE-GGA) of a geometry-optimized LaTbNdSm3 structure. Values from VASP.

Structure (Quantum ESPRESSO input):
```
&SYSTEM
  ibrav = 0, nat = 12, ntyp = 4
/
ATOMIC_SPECIES
La 138.91 La.upf
Tb 158.93 Tb.upf
Nd 144.24 Nd.upf
Sm 150.36 Sm.upf
CELL_PARAMETERS angstrom
10.2301 -2.8929 0.0000
10.2301 2.8929 0.0000
-0.0839 0.0000 6.9952
ATOMIC_POSITIONS crystal
La 0.1460 0.1460 0.0284
La 0.8540 0.8540 0.9716
Tb 0.1468 0.1468 0.4690
Tb 0.8532 0.8532 0.5310
Nd 0.4451 0.4451 0.7379
Nd 0.5549 0.5549 0.2621
Sm 0.0203 0.0203 0.7452
Sm 0.2802 0.2802 0.7492
Sm 0.3369 0.3369 0.2629
Sm 0.6631 0.6631 0.7371
Sm 0.7198 0.7198 0.2508
Sm 0.9797 0.9797 0.2548
```

Summary:
SG: No. 12
formation enthalpy at 0 K: 169 meV per atom

***

The following is a DFT calculation (PBE-GGA) of a geometry-optimized Mg6IrRh2 structure. Values from VASP.

Structure (Quantum ESPRESSO input):
```
&SYSTEM
  ibrav = 0, nat = 9, ntyp = 3
/
ATOMIC_SPECIES
Mg 24.30 Mg.upf
Ir 192.22 Ir.upf
Rh 102.91 Rh.upf
CELL_PARAMETERS angstrom
4.5344 0.0000 0.0000
-2.2672 3.9269 0.0000
0.0000 0.0000 8.5443
ATOMIC_POSITIONS crystal
Mg 0.0000 0.0000 0.2012
Mg 0.0000 0.0000 0.7988
Mg 0.3333 0.6667 0.0647
Mg 0.3333 0.6667 0.4105
Mg 0.6667 0.3333 0.5895
Mg 0.6667 0.3333 0.9353
Ir 0.0000 0.0000 0.5000
Rh 0.3333 0.6667 0.7406
Rh 0.6667 0.3333 0.2594
```

Summary:
SG: No. 164
formation enthalpy at 0 K: -347 meV per atom

***

The following is a DFT calculation (PBE-GGA) of a geometry-optimized Na2YZnNi structure. Values from VASP.

Structure (Quantum ESPRESSO input):
```
&SYSTEM
  ibrav = 0, nat = 5, ntyp = 4
/
ATOMIC_SPECIES
Na 22.99 Na.upf
Y 88.91 Y.upf
Zn 65.41 Zn.upf
Ni 58.69 Ni.upf
CELL_PARAMETERS angstrom
5.0350 0.0000 0.0000
0.0000 5.0350 0.0000
0.0000 0.0000 4.7061
ATOMIC_POSITIONS crystal
Na 0.0000 0.5000 0.0000
Na 0.5000 0.0000 0.0000
Y 0.0000 0.0000 0.5000
Zn 0.5000 0.5000 0.5000
Ni 0.5000 0.5000 0.0000
```

Summary:
SG: No. 123
formation enthalpy at 0 K: 452 meV per atom

***

The following is a DFT calculation (PBE-GGA) of a geometry-optimized AcTbPrTm structure. Values from VASP.

Structure (Quantum ESPRESSO input):
```
&SYSTEM
  ibrav = 0, nat = 16, ntyp = 4
/
ATOMIC_SPECIES
Ac 227.00 Ac.upf
Tb 158.93 Tb.upf
Pr 140.91 Pr.upf
Tm 168.93 Tm.upf
CELL_PARAMETERS angstrom
8.3028 0.0000 0.0000
0.0000 8.3028 0.0000
0.0000 0.0000 8.3028
ATOMIC_POSITIONS crystal
Ac 0.0000 0.0000 0.0000
Ac 0.0000 0.5000 0.5000
Ac 0.5000 0.0000 0.5000
Ac 0.5000 0.5000 0.0000
Tb 0.2500 0.2500 0.2500
Tb 0.2500 0.7500 0.7500
Tb 0.7500 0.2500 0.7500
Tb 0.7500 0.7500 0.2500
Pr 0.0000 0.0000 0.5000
Pr 0.0000 0.5000 0.0000
Pr 0.5000 0.0000 0.0000
Pr 0.5000 0.5000 0.5000
Tm 0.2500 0.2500 0.7500
Tm 0.2500 0.7500 0.2500
Tm 0.7500 0.2500 0.2500
Tm 0.7500 0.7500 0.7500
```

Summary:
SG: No. 216
formation enthalpy at 0 K: 107 meV per atom

***

The following is a DFT calculation (PBE-GGA) of a geometry-optimized NaSrVZn2 structure. Values from VASP.

Structure (Quantum ESPRESSO input):
```
&SYSTEM
  ibrav = 0, nat = 5, ntyp = 4
/
ATOMIC_SPECIES
Na 22.99 Na.upf
Sr 87.62 Sr.upf
V 50.94 V.upf
Zn 65.41 Zn.upf
CELL_PARAMETERS angstrom
5.8326 0.0000 0.0000
0.0000 5.8326 0.0000
0.0000 0.0000 5.7156
ATOMIC_POSITIONS crystal
Na 0.0000 0.0000 0.0000
Sr 0.5000 0.5000 0.5000
V 0.5000 0.5000 0.0000
Zn 0.0000 0.5000 0.5000
Zn 0.5000 0.0000 0.5000
```

Summary:
SG: No. 123
formation enthalpy at 0 K: 1408 meV per atom

***

The following is a DFT calculation (PBE-GGA) of a geometry-optimized Nd4MgZn2Ru structure. Values from VASP.

Structure (Quantum ESPRESSO input):
```
&SYSTEM
  ibrav = 0, nat = 8, ntyp = 4
/
ATOMIC_SPECIES
Nd 144.24 Nd.upf
Mg 24.30 Mg.upf
Zn 65.41 Zn.upf
Ru 101.07 Ru.upf
CELL_PARAMETERS angstrom
2.6172 1.5111 8.5010
-2.6172 1.5111 8.5010
0.0000 -3.0221 8.5010
ATOMIC_POSITIONS crystal
Nd 0.1136 0.1136 0.1136
Nd 0.3671 0.3671 0.3671
Nd 0.6329 0.6329 0.6329
Nd 0.8864 0.8864 0.8864
Mg 0.5000 0.5000 0.5000
Zn 0.2382 0.2382 0.2382
Zn 0.7618 0.7618 0.7618
Ru 0.0000 0.0000 0.0000
```

Summary:
SG: No. 166
formation enthalpy at 0 K: -235 meV per atom

***

The following is a DFT calculation (PBE-GGA) of a geometry-optimized GaRe structure. Values from VASP.

Structure (Quantum ESPRESSO input):
```
&SYSTEM
  ibrav = 0, nat = 12, ntyp = 2
/
ATOMIC_SPECIES
Ga 69.72 Ga.upf
Re 186.21 Re.upf
CELL_PARAMETERS angstrom
2.8507 0.0000 0.0000
-1.4254 2.4688 0.0000
0.0000 0.0000 26.8302
ATOMIC_POSITIONS crystal
Ga 0.0000 0.0000 0.0466
Ga 0.0000 0.0000 0.9534
Ga 0.3333 0.6667 0.6200
Ga 0.3333 0.6667 0.7133
Ga 0.6667 0.3333 0.2867
Ga 0.6667 0.3333 0.3800
Re 0.0000 0.0000 0.2053
Re 0.0000 0.0000 0.7947
Re 0.3333 0.6667 0.4613
Re 0.3333 0.6667 0.8720
Re 0.6667 0.3333 0.1280
Re 0.6667 0.3333 0.5387
```

Summary:
SG: No. 166
formation enthalpy at 0 K: -42 meV per atom

***

The following is a DFT calculation (PBE-GGA) of a geometry-optimized MgZrH3 structure. Values from VASP.

Structure (Quantum ESPRESSO input):
```
&SYSTEM
  ibrav = 0, nat = 5, ntyp = 3
/
ATOMIC_SPECIES
Mg 24.30 Mg.upf
Zr 91.22 Zr.upf
H 1.01 H.upf
CELL_PARAMETERS angstrom
3.6687 0.0000 0.0000
0.0000 3.6687 0.0000
0.0000 0.0000 3.6687
ATOMIC_POSITIONS crystal
Mg 0.0000 0.0000 0.0000
Zr 0.5000 0.5000 0.5000
H 0.0000 0.0000 0.5000
H 0.0000 0.5000 0.0000
H 0.5000 0.0000 0.0000
```

Summary:
SG: No. 221

***

| no. | Fermi-level density of states (states/eV/atom) | uncorrected energy (eV per atom) |
| --- | --- | --- |
| 1 | 0.76 | -4.1220 |
| 2 | 1.10 | -4.2235 |
| 3 | 1.45 | -4.5786 |
| 4 | 0.25 | -4.0278 |
| 5 | 1.06 | -2.7795 |
| 6 | 1.78 | -4.3904 |
| 7 | 1.49 | -1.5257 |
| 8 | 0.82 | -4.2958 |
| 9 | 0.36 | -7.7795 |
| 10 | 0.60 | -3.8158 |